Record 1
! NiAg2Pt2 | the Alexandria database | PBE | relaxed; values from VASP
&SYSTEM
  ibrav = 0, nat = 5, ntyp = 3
/
ATOMIC_SPECIES
Pt 195.08 Pt.upf
Ni 58.69 Ni.upf
Ag 107.87 Ag.upf
CELL_PARAMETERS angstrom
-2.256 -0.725 2.763
0.621 -3.560 -0.428
6.015 2.527 3.177
ATOMIC_POSITIONS crystal
Pt 0.407 0.407 0.814
Pt 0.593 0.593 0.186
Ni 0.000 0.000 0.000
Ag 0.750 0.250 0.500
Ag 0.250 0.750 0.500
! Energy above the lowest structure with this stoichiometry (eV per formula unit): 1.65
! M_tot (μB/f.u.): 1.52
! Energy relative to the elements (eV per atom): 0.59
! Space group: No. 139
! Total DFT energy (no corrections) (eV for the cell shown): -20.6

Record 2
! PuTh2Hg | the Alexandria database | PBE | relaxed; values from VASP
&SYSTEM
  ibrav = 0, nat = 4, ntyp = 3
/
ATOMIC_SPECIES
Hg 200.59 Hg.upf
Th 232.04 Th.upf
Pu 244.00 Pu.upf
CELL_PARAMETERS angstrom
-1.514 -2.295 -2.299
5.022 -2.114 -1.196
-0.590 -3.726 4.109
ATOMIC_POSITIONS crystal
Hg 0.500 0.000 0.000
Th 0.000 0.000 0.500
Th 0.000 0.500 0.000
Pu 0.500 0.500 0.500
! Energy above the lowest structure with this stoichiometry (eV per formula unit): 0.00
! M_tot (μB/f.u.): 5.88
! Energy relative to the elements (eV per atom): -0.08
! Space group: No. 123
! Total DFT energy (no corrections) (eV for the cell shown): -29.8

Record 3
! Pm2AuSe | the Alexandria database | PBE | relaxed; values from VASP
&SYSTEM
  ibrav = 0, nat = 4, ntyp = 3
/
ATOMIC_SPECIES
Pm 145.00 Pm.upf
Au 196.97 Au.upf
Se 78.96 Se.upf
CELL_PARAMETERS angstrom
4.151 -0.001 -0.003
-2.075 3.595 0.003
-2.069 -1.201 7.337
ATOMIC_POSITIONS crystal
Pm 0.503 0.251 0.754
Pm 0.497 0.749 0.246
Au 0.000 0.500 0.500
Se 0.000 0.000 0.000
! Energy above the lowest structure with this stoichiometry (eV per formula unit): 0.22
! M_tot (μB/f.u.): 0.00
! Space group: No. 166
! Total DFT energy (no corrections) (eV for the cell shown): -21.3
! ΔE_f (raw) (eV per atom): -1.2632

Record 4
! La2AsP3Pt4 | the Alexandria database | PBE | relaxed; values from VASP
&SYSTEM
  ibrav = 0, nat = 10, ntyp = 4
/
ATOMIC_SPECIES
La 138.91 La.upf
Pt 195.08 Pt.upf
P 30.97 P.upf
As 74.92 As.upf
CELL_PARAMETERS angstrom
-1.397 -0.649 4.127
-3.632 -1.962 -1.538
4.512 -8.499 0.190
ATOMIC_POSITIONS crystal
La 0.500 0.000 0.249
La 0.000 0.500 0.751
Pt 0.000 0.000 0.000
Pt 0.500 0.500 0.000
Pt 0.000 0.500 0.378
Pt 0.500 0.000 0.622
P 0.000 0.000 0.500
P 0.000 0.500 0.128
P 0.500 0.000 0.872
As 0.500 0.500 0.500
! M_tot (μB/f.u.): 0.00
! Energy relative to the elements (eV per atom): -1.01
! Space group: No. 115
! Total DFT energy (no corrections) (eV for the cell shown): -65.0

Record 5
! Li12Tl3Sb5 | the Alexandria database | PBE | relaxed; values from VASP
&SYSTEM
  ibrav = 0, nat = 80, ntyp = 3
/
ATOMIC_SPECIES
Sb 121.76 Sb.upf
Li 6.94 Li.upf
Tl 204.38 Tl.upf
CELL_PARAMETERS angstrom
-10.106 9.829 -0.857
0.246 -7.552 -11.932
-2.658 -8.545 10.926
ATOMIC_POSITIONS crystal
Sb 0.125 0.375 0.250
Sb 0.125 0.750 0.375
Sb 0.500 0.500 0.500
Sb 0.875 0.250 0.625
Sb 0.500 0.000 0.000
Sb 0.000 0.000 0.500
Sb 0.750 0.125 0.875
Sb 0.625 0.875 0.250
Sb 0.250 0.875 0.125
Sb 0.500 0.500 0.000
Sb 0.250 0.375 0.625
Sb 0.500 0.000 0.500
Sb 0.000 0.500 0.000
Sb 0.000 0.500 0.500
Sb 0.375 0.250 0.125
Sb 0.875 0.625 0.750
Sb 0.750 0.625 0.375
Sb 0.625 0.750 0.875
Sb 0.375 0.125 0.750
Sb 0.000 0.000 0.000
Li 0.597 0.939 0.875
Li 0.778 0.842 0.403
Li 0.939 0.597 0.375
Li 0.278 0.903 0.342
Li 0.097 0.722 0.158
Li 0.439 0.875 0.097
Li 0.842 0.778 0.903
Li 0.342 0.403 0.278
Li 0.125 0.561 0.403
Li 0.936 0.778 0.375
Li 0.064 0.222 0.625
Li 0.778 0.936 0.875
Li 0.875 0.439 0.597
Li 0.222 0.158 0.597
Li 0.903 0.625 0.561
Li 0.561 0.436 0.158
Li 0.564 0.439 0.342
Li 0.625 0.903 0.061
Li 0.936 0.158 0.061
Li 0.403 0.061 0.125
Li 0.064 0.842 0.939
Li 0.061 0.658 0.936
Li 0.875 0.436 0.778
Li 0.436 0.875 0.278
Li 0.342 0.939 0.564
Li 0.903 0.278 0.842
Li 0.222 0.064 0.125
Li 0.278 0.375 0.436
Li 0.403 0.342 0.778
Li 0.842 0.064 0.439
Li 0.436 0.561 0.658
Li 0.658 0.597 0.722
Li 0.158 0.222 0.097
Li 0.097 0.375 0.439
Li 0.125 0.564 0.222
Li 0.658 0.061 0.436
Li 0.375 0.278 0.936
Li 0.722 0.625 0.564
Li 0.597 0.658 0.222
Li 0.722 0.097 0.658
Li 0.561 0.125 0.903
Li 0.564 0.125 0.722
Li 0.625 0.722 0.064
Li 0.061 0.403 0.625
Li 0.158 0.936 0.561
Li 0.939 0.342 0.064
Li 0.375 0.097 0.939
Li 0.439 0.564 0.842
Tl 0.875 0.125 0.250
Tl 0.250 0.625 0.875
Tl 0.625 0.250 0.375
Tl 0.625 0.375 0.750
Tl 0.750 0.875 0.625
Tl 0.375 0.625 0.250
Tl 0.750 0.375 0.125
Tl 0.250 0.125 0.375
Tl 0.375 0.750 0.625
Tl 0.125 0.875 0.750
Tl 0.125 0.250 0.875
Tl 0.875 0.750 0.125
! M_tot (μB/f.u.): 0.00
! Space group: No. 230
! Total DFT energy (no corrections) (eV for the cell shown): -222.7
! ΔE_f (raw) (eV per atom): -0.2503

Record 6
! MgMn2Br | the Alexandria database | PBE | relaxed; values from VASP
&SYSTEM
  ibrav = 0, nat = 4, ntyp = 3
/
ATOMIC_SPECIES
Br 79.90 Br.upf
Mn 54.94 Mn.upf
Mg 24.30 Mg.upf
CELL_PARAMETERS angstrom
5.891 0.054 0.000
3.209 4.940 0.000
-4.550 -2.497 2.787
ATOMIC_POSITIONS crystal
Br 0.250 0.750 0.500
Mn 0.000 0.000 0.000
Mn 0.500 0.500 0.000
Mg 0.750 0.250 0.500
! Energy above the lowest structure with this stoichiometry (eV per formula unit): 0.91
! M_tot (μB/f.u.): 8.15
! Space group: No. 139
! Total DFT energy (no corrections) (eV for the cell shown): -19.8
! ΔE_f (raw) (eV per atom): 0.4508

Record 7
! YTi2ZnI | the Alexandria database | PBE | relaxed; values from VASP
&SYSTEM
  ibrav = 0, nat = 5, ntyp = 4
/
ATOMIC_SPECIES
I 126.90 I.upf
Zn 65.41 Zn.upf
Ti 47.87 Ti.upf
Y 88.91 Y.upf
CELL_PARAMETERS angstrom
-3.574 -1.723 2.836
-0.688 -4.191 -3.414
3.260 -2.597 2.531
ATOMIC_POSITIONS crystal
I 0.500 0.500 0.500
Zn 0.000 0.000 0.000
Ti 0.500 0.000 0.000
Ti 0.000 0.000 0.500
Y 0.000 0.500 0.000
! M_tot (μB/f.u.): 3.33
! Space group: No. 123
! Total DFT energy (no corrections) (eV for the cell shown): -22.8
! ΔE_f (raw) (eV per atom): 0.4505

Record 8
! KIBrN2 | the Alexandria database | PBE | relaxed; values from VASP
&SYSTEM
  ibrav = 0, nat = 5, ntyp = 4
/
ATOMIC_SPECIES
I 126.90 I.upf
K 39.10 K.upf
N 14.01 N.upf
Br 79.90 Br.upf
CELL_PARAMETERS angstrom
-4.871 -2.171 -0.693
-0.152 -1.749 6.542
-2.276 4.720 1.209
ATOMIC_POSITIONS crystal
I 0.000 0.500 0.000
K 0.000 0.000 0.000
N 0.500 0.000 0.000
N 0.000 0.000 0.500
Br 0.500 0.500 0.500
! Energy above the lowest structure with this stoichiometry (eV per formula unit): 1.76
! M_tot (μB/f.u.): 6.80
! Space group: No. 123
! Total DFT energy (no corrections) (eV for the cell shown): -12.3
! ΔE_f (raw) (eV per atom): 1.7338

> Look up the M_tot of the eighth one.

6.80 μB/f.u.